[1]
A geometry-optimized LaZn2Pd3 structure. Source: the Alexandria database, functional PBE.

Values from the calculation:
As for the total energy: -4.48 eV per atom. As for the symmetry: No. 63.

The structure in extended XYZ format:
```
12
Lattice="4.941 -4.348 0.000 4.941 4.348 0.000 0.000 0.000 5.374" Properties=species:S:1:pos:R:3 pbc="T T T"
La 4.941 2.546 4.031
La 4.941 -2.546 1.344
Zn 2.702 0.000 0.000
Zn 2.702 0.000 2.687
Zn 7.179 0.000 0.000
Zn 7.179 0.000 2.687
Pd 3.090 2.348 1.344
Pd 6.792 2.348 1.344
Pd 4.941 0.355 1.344
Pd 4.941 -0.355 4.031
Pd 3.090 -2.348 4.031
Pd 6.792 -2.348 4.031
```

---

[2]
A geometry-optimized La6Zn2Pd structure. Source: the Alexandria database, functional PBE.

Values from the calculation:
As for the total energy: -4.45 eV per atom. As for the symmetry: No. 189.

The structure in extended XYZ format:
```
9
Lattice="8.918 0.000 0.000 -4.459 7.723 0.000 0.000 0.000 3.829" Properties=species:S:1:pos:R:3 pbc="T T T"
La -1.151 1.994 0.000
La -2.652 4.593 1.914
La 2.302 0.000 0.000
La 1.807 3.131 1.914
La 5.303 0.000 1.914
La 3.308 5.729 0.000
Zn 0.000 5.149 0.000
Zn 4.459 2.574 0.000
Pd 0.000 0.000 1.914
```

---

[3]
A geometry-optimized La3Zn3Pd structure. Source: the Alexandria database, functional PBE.

Values from the calculation:
As for the total energy: -3.85 eV per atom. As for the symmetry: No. 44.

The structure in extended XYZ format:
```
7
Lattice="-1.911 2.302 10.044 1.911 -2.302 10.044 1.911 2.302 -10.044" Properties=species:S:1:pos:R:3 pbc="T T T"
La 0.000 0.000 0.000
La 0.000 0.000 7.517
La 0.000 2.302 3.926
Zn 1.911 0.000 2.504
Zn 0.000 0.000 11.143
Zn 0.000 0.000 16.627
Pd 1.911 0.000 5.146
```

---

[4]
A geometry-optimized La4Zn2Pd structure. Source: the Alexandria database, functional PBE.

Values from the calculation:
As for the total energy: -4.24 eV per atom. As for the symmetry: No. 139.

The structure in extended XYZ format:
```
7
Lattice="-3.685 3.685 3.728 3.685 -3.685 3.728 3.685 3.685 -3.728" Properties=species:S:1:pos:R:3 pbc="T T T"
La 1.843 1.843 -1.864
La 1.843 -1.843 1.864
La -1.843 1.843 1.864
La 1.843 1.843 1.864
Zn 3.685 0.000 0.000
Zn 0.000 3.685 0.000
Pd 0.000 0.000 0.000
```

---

[5]
A geometry-optimized La6Zn5Pd structure. Source: the Alexandria database, functional PBE.

Values from the calculation:
As for the total energy: -3.81 eV per atom. As for the symmetry: No. 65.

The structure in extended XYZ format:
```
12
Lattice="2.657 -7.977 0.000 2.657 7.977 0.000 0.000 0.000 7.463" Properties=species:S:1:pos:R:3 pbc="T T T"
La 0.000 0.000 1.827
La 0.000 0.000 5.636
La 2.657 2.608 1.868
La 2.657 2.608 5.596
La 2.657 -2.608 1.868
La 2.657 -2.608 5.596
Zn 2.657 5.267 3.732
Zn 2.657 5.180 0.000
Zn 2.657 0.000 3.732
Zn 2.657 -5.180 0.000
Zn 2.657 -5.267 3.732
Pd 2.657 0.000 0.000
```

---

[6]
A geometry-optimized LaZn4Pd structure. Source: the Alexandria database, functional PBE.

Values from the calculation:
As for the total energy: -2.87 eV per atom. As for the symmetry: No. 216. As for the relative energy among the computed polymorphs: 66 meV per atom.

The structure in extended XYZ format:
```
6
Lattice="0.000 3.787 3.787 3.787 0.000 3.787 3.787 3.787 0.000" Properties=species:S:1:pos:R:3 pbc="T T T"
La 0.000 0.000 0.000
Zn 2.854 2.854 2.854
Zn 4.720 4.720 2.854
Zn 4.720 2.854 4.720
Zn 2.854 4.720 4.720
Pd 5.680 5.680 5.680
```

---

[7]
A geometry-optimized La11Zn9Pd4 structure. Source: the Alexandria database, functional PBE.

Values from the calculation:
As for the total energy: -4.08 eV per atom. As for the symmetry: No. 65.

The structure in extended XYZ format:
```
24
Lattice="7.186 -10.913 0.000 7.186 10.913 0.000 0.000 0.000 3.871" Properties=species:S:1:pos:R:3 pbc="T T T"
La 0.000 0.000 0.000
La 3.368 3.839 0.000
La 7.186 7.237 0.000
La 4.248 0.000 0.000
La 7.186 2.797 0.000
La 3.368 -3.839 0.000
La 11.004 3.839 0.000
La 7.186 -2.797 0.000
La 10.124 0.000 0.000
La 7.186 -7.237 0.000
La 11.004 -3.839 0.000
Zn 2.027 1.589 1.935
Zn 5.732 5.074 1.935
Zn 2.027 -1.589 1.935
Zn 8.640 5.074 1.935
Zn 7.186 0.000 1.935
Zn 5.732 -5.074 1.935
Zn 12.346 1.589 1.935
Zn 8.640 -5.074 1.935
Zn 12.346 -1.589 1.935
Pd 4.961 2.198 1.935
Pd 4.961 -2.198 1.935
Pd 9.412 2.198 1.935
Pd 9.412 -2.198 1.935
```

---

[8]
A geometry-optimized LaZn4Pd structure. Source: the Alexandria database, functional PBE.

Values from the calculation:
As for the total energy: -2.93 eV per atom. As for the symmetry: No. 51. As for the relative energy among the computed polymorphs: 0 meV per atom.

The structure in extended XYZ format:
```
12
Lattice="7.977 0.000 0.000 0.000 4.108 0.000 0.000 0.000 7.048" Properties=species:S:1:pos:R:3 pbc="T T T"
La 1.994 0.000 0.797
La 5.983 0.000 6.252
Zn 0.000 0.000 3.524
Zn 0.379 2.054 5.562
Zn 1.994 2.054 3.204
Zn 3.610 2.054 5.562
Zn 3.989 0.000 3.524
Zn 4.367 2.054 1.486
Zn 5.983 2.054 3.845
Zn 7.598 2.054 1.486
Pd 1.994 0.000 5.001
Pd 5.983 0.000 2.048
```

---

[9]
A geometry-optimized La3Zn8Pd3 structure. Source: the Alexandria database, functional PBE.

Values from the calculation:
As for the total energy: -3.41 eV per atom. As for the symmetry: No. 71.

The structure in extended XYZ format:
```
14
Lattice="-2.182 4.779 6.569 2.182 -4.779 6.569 2.182 4.779 -6.569" Properties=species:S:1:pos:R:3 pbc="T T T"
La 0.000 0.000 0.000
La 0.000 0.000 4.274
La 0.000 0.000 8.865
Zn 2.182 -1.338 2.348
Zn 2.182 -2.142 4.950
Zn 2.182 1.338 2.348
Zn 0.000 2.637 1.619
Zn 2.182 2.142 4.950
Zn 0.000 3.441 4.221
Zn 0.000 6.922 1.619
Zn 0.000 6.117 4.221
Pd 2.182 2.572 0.000
Pd 0.000 4.779 0.000
Pd 0.000 2.208 6.569
```

---

[10]
A geometry-optimized LaZr2Pd2 structure. Source: the Alexandria database, functional PBE.

Values from the calculation:
As for the total energy: -6.95 eV per atom. As for the symmetry: No. 139. As for the relative energy among the computed polymorphs: 0 meV per atom.

The structure in extended XYZ format:
```
5
Lattice="-2.345 2.345 5.442 2.345 -2.345 5.442 2.345 2.345 -5.442" Properties=species:S:1:pos:R:3 pbc="T T T"
La 0.000 0.000 0.000
Zr 2.345 0.000 2.721
Zr 0.000 2.345 2.721
Pd 0.000 0.000 4.099
Pd 0.000 0.000 6.786
```

---

[11]
A geometry-optimized LaZrPd2 structure. Source: the Alexandria database, functional PBE.

Values from the calculation:
As for the total energy: -6.54 eV per atom. As for the symmetry: No. 123.

The structure in extended XYZ format:
```
4
Lattice="5.109 0.000 0.000 0.000 5.109 0.000 0.000 0.000 3.294" Properties=species:S:1:pos:R:3 pbc="T T T"
La 0.000 0.000 0.000
Zr 2.555 2.555 0.000
Pd 0.000 2.555 1.647
Pd 2.555 0.000 1.647
```

---

[12]
A geometry-optimized LaZr3Pd structure. Source: the Alexandria database, functional PBE.

Values from the calculation:
As for the total energy: -6.94 eV per atom. As for the symmetry: No. 221. As for the relative energy among the computed polymorphs: 0 meV per atom.

The structure in extended XYZ format:
```
5
Lattice="5.174 0.000 0.000 0.000 5.174 0.000 0.000 0.000 5.174" Properties=species:S:1:pos:R:3 pbc="T T T"
La 0.000 0.000 0.000
Zr 0.000 2.587 2.587
Zr 2.587 0.000 2.587
Zr 2.587 2.587 0.000
Pd 2.587 2.587 2.587
```

---

| no. | E_form (eV/f.u.) |
| --- | --- |
| 1 | -3.83 |
| 2 | -2.71 |
| 3 | -3.17 |
| 4 | -2.22 |
| 5 | -4.56 |
| 6 | -1.99 |
| 7 | -11.59 |
| 8 | -2.38 |
| 9 | -7.12 |
| 10 | -2.33 |
| 11 | -2.31 |
| 12 | 1.08 |